A plane-wave DFT calculation with PBE-GGA was carried out for crystalline LiY2Tc at its relaxed geometry.

As for the crystal system: tetragonal. The calculation puts the formation enthalpy at 0 K at 0.416 eV per atom. As for the space-group type: No. 122. The density of states at the Fermi level comes out at 2.21 states/eV/f.u. Its total magnetization is 0.00 Bohr magnetons per cell. As for the density: 5119 kg/m³.

Geometry as POSCAR:
```
LiY2Tc
1.0
7.541 0.000 0.000
0.000 7.541 0.000
3.770 3.770 3.226
Tc Y Li
2 4 2
Cartesian
7.541 3.770 1.613
0.000 0.000 0.000
9.426 9.510 2.420
1.801 5.655 0.807
5.655 5.571 2.420
5.739 1.885 0.807
3.770 7.541 1.613
3.770 3.770 0.000
```



A plane-wave DFT calculation with PBE-GGA was carried out for crystalline PtAuI6 at its relaxed geometry.

As for the crystal system: monoclinic. As for the space-group type: No. 12. The density of states at the Fermi level comes out at 3.57 states/eV/f.u. For the raw total energy, the calculation gives -2.383 eV/atom. Its total magnetization is 0.00 Bohr magnetons per cell. As for the density: 5095 kg/m³.

Geometry as POSCAR:
```
PtAuI6
1.0
-0.004 -6.525 5.628
3.361 -6.125 -0.502
6.266 2.640 4.076
I Pt Au
6 1 1
Cartesian
3.583 -2.929 6.162
3.867 -4.277 1.509
2.763 -6.602 5.409
2.679 -0.957 3.542
5.756 -5.732 7.694
6.860 -3.408 3.793
3.133 1.320 2.038
0.000 0.000 0.000
```



A plane-wave DFT calculation with PBE-GGA was carried out for crystalline Ta2TeSe at its relaxed geometry.

As for the crystal system: orthorhombic. As for the space-group type: No. 44. For the distance to the lowest polymorph of the same formula, the calculation gives 465.0 meV per atom. The density of states at the Fermi level comes out at 2.27 states/eV/f.u. Its total magnetization is 0.00 Bohr magnetons per cell. As for the density: 11917 kg/m³.

Geometry as POSCAR:
```
Ta2TeSe
1.0
-2.629 -4.231 3.183
2.045 -5.543 0.199
1.035 5.747 0.922
Ta Se Te
2 1 1
Cartesian
-0.936 -1.566 2.857
-0.016 -0.271 0.094
1.407 -2.117 1.328
-0.296 -4.960 1.716
```



A plane-wave DFT calculation with PBE-GGA was carried out for crystalline ReRu2Br at its relaxed geometry.

As for the crystal system: tetragonal. As for the space-group type: No. 99. For the distance to the lowest polymorph of the same formula, the calculation gives 261.8 meV per atom. The density of states at the Fermi level comes out at 4.15 states/eV/f.u. Its total magnetization is 0.00 Bohr magnetons per cell. As for the density: 12569 kg/m³.

Geometry as POSCAR:
```
ReRu2Br
1.0
2.892 0.000 0.000
0.000 2.892 0.000
0.000 0.000 7.397
Re Ru Br
1 2 1
Cartesian
1.446 1.446 5.668
1.446 1.446 1.816
0.000 0.000 7.328
0.000 0.000 3.681
```



A plane-wave DFT calculation with PBE-GGA was carried out for crystalline YMnCl5 at its relaxed geometry.

As for the crystal system: monoclinic. As for the space-group type: No. 15. The density of states at the Fermi level comes out at 0.00 states/eV/f.u. For the raw total energy, the calculation gives -5.287 eV/atom. Its total magnetization is 10.00 Bohr magnetons per cell. As for the density: 2351 kg/m³.

Geometry as POSCAR:
```
YMnCl5
1.0
6.819 0.377 -2.211
-0.831 6.779 -2.211
-0.532 -0.636 10.140
Cl Y Mn
10 2 2
Cartesian
0.322 4.398 2.795
0.181 3.974 7.864
0.631 0.188 7.897
4.824 6.332 -2.180
3.545 5.348 4.288
1.911 1.172 1.429
3.334 4.551 0.617
5.134 2.122 2.923
5.274 2.545 -2.147
2.122 1.969 5.101
2.728 3.260 2.859
0.000 0.000 0.000
0.212 2.053 6.499
5.243 4.467 -0.782
```



A plane-wave DFT calculation with PBE-GGA was carried out for crystalline LiBSe2 at its relaxed geometry.

As for the crystal system: triclinic. As for the space-group type: No. 1. The density of states at the Fermi level comes out at 0.00 states/eV/f.u. For the raw total energy, the calculation gives -4.305 eV/atom. Its total magnetization is 0.00 Bohr magnetons per cell. As for the density: 3317 kg/m³.

Geometry as POSCAR:
```
LiBSe2
1.0
-4.978 -4.094 4.569
-3.105 -2.032 -2.819
2.157 -4.735 1.030
Se Li B
4 2 2
Cartesian
-1.180 -3.385 -0.137
-3.229 -8.654 4.832
-2.886 -7.356 0.751
-3.576 -4.716 2.389
-0.617 -6.008 0.223
-4.178 -5.209 -0.274
-3.717 -6.697 2.379
-4.368 -7.509 3.677
```